The following is a PBE calculation of CaGe3Pd after structural relaxation, from Alexandria.

Results
* space group: Pm-3m (221)
* total DFT energy (no corrections): -4.240 eV per atom

Cell: 4.9366 4.9366 4.9366 Å, 90.00 90.00 90.00°
Fractional coordinates of all 5 atoms:
Ca: 0.0000 0.0000 0.0000
Ge: 0.0000 0.5000 0.5000
Ge: 0.5000 0.0000 0.5000
Ge: 0.5000 0.5000 0.0000
Pd: 0.5000 0.5000 0.5000



The following is a PBE calculation of SrTcO2F after structural relaxation, from Alexandria.

Results
* space group: P4/mmm (123)
* energy relative to the elements, uncorrected: -1.954 eV/atom

Cell: 4.0015 4.0015 4.3129 Å, 90.00 90.00 90.00°
Fractional coordinates of all 5 atoms:
Sr: 0.0000 0.0000 0.0000
Tc: 0.5000 0.5000 0.5000
O: 0.0000 0.5000 0.5000
O: 0.5000 0.0000 0.5000
F: 0.5000 0.5000 0.0000



The following is a PBE calculation of AcTb2Al after structural relaxation, from Alexandria.

Results
* space group: P4/mmm (123)
* ΔE to the lowest computed polymorph: 78 meV per atom

Cell: 4.9401 4.9401 4.9719 Å, 90.00 90.00 90.00°
Fractional coordinates of all 4 atoms:
Ac: 0.0000 0.0000 0.0000
Tb: 0.0000 0.5000 0.5000
Tb: 0.5000 0.0000 0.5000
Al: 0.5000 0.5000 0.0000



The following is a PBE calculation of Ce5ErTl6 after structural relaxation, from Alexandria.

Results
* space group: Immm (71)
* total DFT energy (no corrections): -4.288 eV per atom

Cell: 9.0853 9.0853 9.0853 Å, 148.38 119.16 70.20°
Fractional coordinates of all 12 atoms:
Ce: 0.0000 0.0000 0.0000
Ce: 0.1639 0.6639 0.5000
Ce: 0.3248 0.3248 0.0000
Ce: 0.6752 0.6752 0.0000
Ce: 0.8361 0.3361 0.5000
Er: 0.5000 0.0000 0.5000
Tl: 0.0912 0.8367 0.2545
Tl: 0.2577 0.5000 0.7577
Tl: 0.4178 0.1633 0.2545
Tl: 0.5822 0.8367 0.7455
Tl: 0.7423 0.5000 0.2423
Tl: 0.9088 0.1633 0.7455



The following is a PBE calculation of Zr4PW after structural relaxation, from Alexandria.

Results
* space group: F-43m (216)
* total DFT energy (no corrections): -8.074 eV per atom

Cell: 5.5878 5.5878 5.5878 Å, 60.00 60.00 60.00°
Fractional coordinates of all 6 atoms:
Zr: 0.3768 0.3768 0.3768
Zr: 0.3768 0.3768 0.8697
Zr: 0.3768 0.8697 0.3768
Zr: 0.8697 0.3768 0.3768
P: 0.0000 0.0000 0.0000
W: 0.7500 0.7500 0.7500



The following is a PBE calculation of NbHgTe2I after structural relaxation, from Alexandria.

Results
* space group: P4/mmm (123)
* energy relative to the elements, uncorrected: 0.005 eV/atom
* ΔE to the lowest computed polymorph: 0 meV per atom

Cell: 5.4189 5.4189 5.7966 Å, 90.00 90.00 90.00°
Fractional coordinates of all 5 atoms:
Nb: 0.0000 0.0000 0.0000
Hg: 0.5000 0.5000 0.5000
Te: 0.0000 0.5000 0.0000
Te: 0.5000 0.0000 0.0000
I: 0.0000 0.0000 0.5000



The following is a PBE calculation of KSiPb2 after structural relaxation, from Alexandria.

Results
* space group: P4/mmm (123)
* energy relative to the elements, uncorrected: 0.133 eV/atom

Cell: 3.8471 3.8471 8.0847 Å, 90.00 90.00 90.00°
Fractional coordinates of all 4 atoms:
K: 0.0000 0.0000 0.0000
Si: 0.0000 0.0000 0.5000
Pb: 0.5000 0.5000 0.3128
Pb: 0.5000 0.5000 0.6872



The following is a PBE calculation of PaNiPt2 after structural relaxation, from Alexandria.

Results
* space group: Cmcm (63)
* total DFT energy (no corrections): -7.500 eV per atom

Cell: 10.2263 10.2263 3.9828 Å, 90.00 90.00 159.61°
Fractional coordinates of all 8 atoms:
Pa: 0.1134 0.8866 0.7500
Pa: 0.8866 0.1134 0.2500
Ni: 0.3345 0.6655 0.7500
Ni: 0.6655 0.3345 0.2500
Pt: 0.2570 0.7430 0.2500
Pt: 0.4553 0.5447 0.7500
Pt: 0.5447 0.4553 0.2500
Pt: 0.7430 0.2570 0.7500



no.,calculated volume (Å³/f.u.)
1,120.3
2,69.1
3,121.3
4,338.5
5,123.4
6,170.2
7,119.7
8,72.5